No. 1
DFT (GGA-PBEsol) results for CeGa8Pd3 after structural relaxation.

Values from the calculation:
As for the formation energy: -0.5849 eV per atom. The spin magnetization comes out at 0.0478 μB per atom.

abc: 11.8344 11.8344 14.6065
angles: 90.00 90.00 120.00
Space group R-3m (No. 166, hexagonal axes)
Symmetry-distinct sites (fractional):
Ce  0.0000  0.5000  0.0000 x9
Ga  0.0000  0.2391  0.0000 x18
Ga  0.0822  0.1645  0.1507 x18
Ga  0.1010  0.2020  0.5595 x18
Ga  0.1028  0.5514  0.4075 x18
Pd  0.0000  0.0000  0.0000 x3
Pd  0.0000  0.0000  0.3378 x6
Pd  0.0000  0.3371  0.5000 x18

---

No. 2
DFT (GGA-PBEsol) results for ScCr2Cl after structural relaxation.

Values from the calculation:
The uncorrected formation energy comes out at 2.9 eV/f.u. The energy above the most stable polymorph in this dataset comes out at 827 meV/atom. The spin magnetization comes out at 1.3352 μB per atom.

abc: 4.495 4.495 3.088
angles: 90.00 90.00 90.00
Space group P4/mmm (No. 123)
Symmetry-distinct sites (fractional):
Sc  0.000  0.000  0.000 x1
Cr  0.000  0.500  0.500 x2
Cl  0.500  0.500  0.000 x1

---

No. 3
DFT (GGA-PBEsol) results for BaBe2Cr after structural relaxation.

Values from the calculation:
As for the formation energy: 1.1586 eV per atom. The energy above the most stable polymorph in this dataset comes out at 662 meV/atom. The spin magnetization comes out at 0.8439 μB per atom.

abc: 4.914 4.914 3.048
angles: 90.00 90.00 90.00
Space group P4/mmm (No. 123)
Symmetry-distinct sites (fractional):
Ba  0.000  0.000  0.000 x1
Be  0.000  0.500  0.500 x2
Cr  0.500  0.500  0.000 x1